Sm3Cd2N | GGA-PBE | relaxed

Calculated values
Space group: No. 65
Uncorrected energy (eV/atom): -4.7250

Cell: 5.0020 7.1442 8.4239 Å, 90.00 72.73 90.00°
Last column: nearest neighbours and their distance in Å.
Fractional positions:
N1 0.0001 0.2500 0.0000  6 Sm 2.50
N2 0.9999 0.7500 0.0000  6 Sm 2.50
Cd1 0.7012 0.2500 0.5984  2 Cd 2.96, 1 Sm 3.23
Cd2 0.2988 0.7500 0.4016  2 Cd 2.96, 1 Sm 3.23
Cd3 0.2996 0.2500 0.4016  2 Cd 2.96, 1 Sm 3.23
Cd4 0.7004 0.7500 0.5984  2 Cd 2.96, 1 Sm 3.23
Sm1 0.8912 0.5000 0.2176  2 N 2.50
Sm2 0.1088 0.0000 0.7824  2 N 2.50
Sm3 0.8912 0.0000 0.2176  2 N 2.50
Sm4 0.4999 0.7500 0.0000  2 N 2.50
Sm5 0.1088 0.5000 0.7824  2 N 2.50
Sm6 0.5001 0.2500 0.0000  2 N 2.50


Sm3CdN | GGA-PBE | relaxed

Calculated values
Space group: No. 221
Uncorrected energy (eV/atom): -5.4332

Cell: 4.9665 4.9665 4.9665 Å, 90.00 90.00 90.00°
Last column: nearest neighbours and their distance in Å.
Fractional positions:
Sm1 0.5000 0.0000 0.0000  2 N 2.48
Sm2 0.0000 0.5000 0.0000  2 N 2.48
Sm3 0.0000 0.0000 0.5000  2 N 2.48
Cd1 0.5000 0.5000 0.5000  12 Sm 3.51
N1 0.0000 0.0000 0.0000  6 Sm 2.48


Sm4Cd2N | GGA-PBE | relaxed

Calculated values
Energy relative to the lowest polymorph listed for this composition (eV per atom): 0.000
Space group: No. 139

Cell: 4.9984 4.9984 8.3559 Å, 72.60 72.60 90.00°
Last column: nearest neighbours and their distance in Å.
Fractional positions:
Sm1 0.5000 0.0000 0.0000  2 N 2.50
Sm2 0.1628 0.1628 0.6744  1 N 2.47
Sm3 0.8372 0.8372 0.3256  1 N 2.47
Sm4 0.0000 0.5000 0.0000  2 N 2.50
Cd1 0.6312 0.6312 0.7376  5 Sm 3.12-3.19
Cd2 0.3688 0.3688 0.2624  5 Sm 3.12-3.19
N1 0.0000 0.0000 0.0000  6 Sm 2.47-2.50


Sm5Cd2N2 | GGA-PBE | relaxed

Calculated values
Space group: No. 46
Uncorrected energy (eV/atom): -5.3590

Cell: 7.2054 7.1502 10.4227 Å, 110.06 110.22 90.00°
Last column: nearest neighbours and their distance in Å.
Fractional positions:
Sm1 0.2337 0.2433 0.9680  2 N 2.55-2.56
Sm2 0.7663 0.2753 0.0320  2 N 2.55-2.56
Sm3 0.0029 0.5119 0.5000  2 N 2.33
Sm4 0.7657 0.7753 0.0320  2 N 2.55-2.56
Sm5 0.9971 0.0119 0.5000  2 N 2.33
Sm6 0.7887 0.8715 0.7275  1 N 2.24
Sm7 0.4388 0.3715 0.7275  1 N 2.24
Sm8 0.2344 0.7433 0.9680  2 N 2.55-2.56
Sm9 0.5612 0.6440 0.2725  1 N 2.24
Sm10 0.2113 0.1440 0.2725  1 N 2.24
N1 0.0000 0.0091 0.0000  6 Sm 2.54-2.56
N2 0.7928 0.7600 0.5000  4 Sm 2.24-2.33
N3 0.2072 0.2600 0.5000  4 Sm 2.24-2.33
N4 0.5000 0.5091 0.0000  6 Sm 2.54-2.56
Cd1 0.1138 0.6343 0.2477  5 Sm 3.14-3.40
Cd2 0.6340 0.1343 0.2477  5 Sm 3.14-3.40
Cd3 0.3660 0.8865 0.7523  5 Sm 3.14-3.40
Cd4 0.8862 0.3865 0.7523  5 Sm 3.14-3.40